Record 1
Entry from the Alexandria database: a relaxed Ti4O3 crystal (PBE-GGA).

SG: I4/mmm, No. 139
total DFT energy (no corrections): -8.772 eV/atom
E_form (uncorrected): -2.14 eV per atom

```
data_Ti4O3
_chemical_formula_sum 'Ti4 O3'
_space_group_name_H-M_alt 'P 1'
_space_group_IT_number 1
_cell_length_a 5.134
_cell_length_b 5.134
_cell_length_c 5.134
_cell_angle_alpha 130.74
_cell_angle_beta 130.74
_cell_angle_gamma 72.22
loop_
_space_group_symop_operation_xyz
'x,y,z'
loop_
_atom_site_label
_atom_site_fract_x
_atom_site_fract_y
_atom_site_fract_z
Ti1 0.000 0.500 0.500
Ti2 0.265 0.265 0.000
Ti3 0.500 0.000 0.500
Ti4 0.735 0.735 0.000
O1 0.750 0.250 0.500
O2 0.000 0.000 0.000
O3 0.250 0.750 0.500
```

=====

Record 2
Entry from the Alexandria database: a relaxed Cu2MoRh crystal (PBE-GGA).

formation energy: 235 meV per atom
SG: Pmmm, No. 47
total DFT energy (no corrections): -6.359 eV/atom

```
data_Cu2MoRh
_chemical_formula_sum 'Cu2 Mo1 Rh1'
_space_group_name_H-M_alt 'P 1'
_space_group_IT_number 1
_cell_length_a 2.753
_cell_length_b 4.457
_cell_length_c 4.552
_cell_angle_alpha 90.00
_cell_angle_beta 90.00
_cell_angle_gamma 90.00
loop_
_space_group_symop_operation_xyz
'x,y,z'
loop_
_atom_site_label
_atom_site_fract_x
_atom_site_fract_y
_atom_site_fract_z
Cu1 0.000 0.000 0.000
Cu2 0.500 0.500 0.000
Mo1 0.500 0.000 0.500
Rh1 0.000 0.500 0.500
```

=====

Record 3
Entry from the Alexandria database: a relaxed Ba4Ca6I19 crystal (PBE-GGA).

SG: I23, No. 197
total DFT energy (no corrections): -3.276 eV/atom
E_form (uncorrected): -1.58 eV per atom

```
data_Ba4Ca6I19
_chemical_formula_sum 'Ba4 Ca6 I19'
_space_group_name_H-M_alt 'P 1'
_space_group_IT_number 1
_cell_length_a 11.641
_cell_length_b 11.641
_cell_length_c 11.641
_cell_angle_alpha 109.47
_cell_angle_beta 109.47
_cell_angle_gamma 109.47
loop_
_space_group_symop_operation_xyz
'x,y,z'
loop_
_atom_site_label
_atom_site_fract_x
_atom_site_fract_y
_atom_site_fract_z
Ba1 0.000 0.000 0.673
Ba2 0.000 0.673 0.000
Ba3 0.327 0.327 0.327
Ba4 0.673 0.000 0.000
Ca1 0.338 0.500 0.838
Ca2 0.662 0.500 0.162
Ca3 0.162 0.662 0.500
Ca4 0.838 0.338 0.500
Ca5 0.500 0.838 0.338
Ca6 0.500 0.162 0.662
I1 0.673 0.000 0.673
I2 0.327 0.000 0.327
I3 0.327 0.327 0.000
I4 0.673 0.673 0.000
I5 0.000 0.673 0.673
I6 0.000 0.327 0.327
I7 0.000 0.000 0.000
I8 0.238 0.215 0.590
I9 0.762 0.351 0.976
I10 0.625 0.649 0.410
I11 0.976 0.762 0.351
I12 0.375 0.785 0.024
I13 0.590 0.238 0.215
I14 0.024 0.375 0.785
I15 0.410 0.625 0.649
I16 0.785 0.024 0.375
I17 0.351 0.976 0.762
I18 0.215 0.590 0.238
I19 0.649 0.410 0.625
```

=====

Record 4
Entry from the Alexandria database: a relaxed Pm4SmSe7 crystal (PBE-GGA).

SG: Cm, No. 8
total DFT energy (no corrections): -5.892 eV/atom
E_form (uncorrected): -1.88 eV per atom

```
data_Pm4SmSe7
_chemical_formula_sum 'Pm4 Sm1 Se7'
_space_group_name_H-M_alt 'P 1'
_space_group_IT_number 1
_cell_length_a 4.078
_cell_length_b 7.186
_cell_length_c 12.451
_cell_angle_alpha 104.04
_cell_angle_beta 90.00
_cell_angle_gamma 106.48
loop_
_space_group_symop_operation_xyz
'x,y,z'
loop_
_atom_site_label
_atom_site_fract_x
_atom_site_fract_y
_atom_site_fract_z
Pm1 0.700 0.399 0.811
Pm2 0.300 0.600 0.189
Pm3 0.000 0.000 0.000
Pm4 0.113 0.225 0.422
Sm1 0.887 0.775 0.578
Se1 0.741 0.482 0.351
Se2 0.260 0.520 0.649
Se3 0.340 0.679 0.950
Se4 0.660 0.320 0.050
Se5 0.040 0.081 0.784
Se6 0.959 0.919 0.216
Se7 0.500 0.999 0.501
```

=====

Record 5
Entry from the Alexandria database: a relaxed K2HgBiH crystal (PBE-GGA).

SG: P4/mmm, No. 123
total DFT energy (no corrections): -2.120 eV/atom

```
data_K2HgBiH
_chemical_formula_sum 'K2 Hg1 Bi1 H1'
_space_group_name_H-M_alt 'P 1'
_space_group_IT_number 1
_cell_length_a 6.026
_cell_length_b 6.026
_cell_length_c 4.350
_cell_angle_alpha 90.00
_cell_angle_beta 90.00
_cell_angle_gamma 90.00
loop_
_space_group_symop_operation_xyz
'x,y,z'
loop_
_atom_site_label
_atom_site_fract_x
_atom_site_fract_y
_atom_site_fract_z
H1 0.000 0.000 0.000
K1 0.000 0.500 0.000
K2 0.500 0.000 0.000
Bi1 0.000 0.000 0.500
Hg1 0.500 0.500 0.500
```

=====

Record 6
Entry from the Alexandria database: a relaxed GdHfZn crystal (PBE-GGA).

formation energy: -101 meV per atom
SG: I4mm, No. 107
total DFT energy (no corrections): -8.537 eV/atom

```
data_GdHfZn
_chemical_formula_sum 'Gd1 Hf1 Zn1'
_space_group_name_H-M_alt 'P 1'
_space_group_IT_number 1
_cell_length_a 3.338
_cell_length_b 3.338
_cell_length_c 6.533
_cell_angle_alpha 104.80
_cell_angle_beta 104.80
_cell_angle_gamma 90.00
loop_
_space_group_symop_operation_xyz
'x,y,z'
loop_
_atom_site_label
_atom_site_fract_x
_atom_site_fract_y
_atom_site_fract_z
Zn1 0.680 0.680 0.360
Gd1 0.005 0.005 0.010
Hf1 0.315 0.315 0.630
```

=====

Record 7
Entry from the Alexandria database: a relaxed CaU4 crystal (PBE-GGA).

formation energy: 2121 meV per atom
SG: Pm-3m, No. 221
total DFT energy (no corrections): -7.310 eV/atom

```
data_CaU4
_chemical_formula_sum 'Ca1 U4'
_space_group_name_H-M_alt 'P 1'
_space_group_IT_number 1
_cell_length_a 5.118
_cell_length_b 5.118
_cell_length_c 5.118
_cell_angle_alpha 90.00
_cell_angle_beta 90.00
_cell_angle_gamma 90.00
loop_
_space_group_symop_operation_xyz
'x,y,z'
loop_
_atom_site_label
_atom_site_fract_x
_atom_site_fract_y
_atom_site_fract_z
Ca1 0.500 0.500 0.500
U1 0.000 0.000 0.000
U2 0.500 0.000 0.500
U3 0.000 0.500 0.500
U4 0.500 0.500 0.000
```

=====

Record 8
Entry from the Alexandria database: a relaxed InGa2Ag crystal (PBE-GGA).

formation energy: 42 meV per atom
SG: P4/mmm, No. 123
total DFT energy (no corrections): -2.869 eV/atom

```
data_InGa2Ag
_chemical_formula_sum 'In1 Ga2 Ag1'
_space_group_name_H-M_alt 'P 1'
_space_group_IT_number 1
_cell_length_a 3.134
_cell_length_b 3.134
_cell_length_c 8.285
_cell_angle_alpha 90.00
_cell_angle_beta 90.00
_cell_angle_gamma 90.00
loop_
_space_group_symop_operation_xyz
'x,y,z'
loop_
_atom_site_label
_atom_site_fract_x
_atom_site_fract_y
_atom_site_fract_z
Ga1 0.000 0.000 0.781
Ga2 0.000 0.000 0.219
Ag1 0.500 0.500 0.000
In1 0.500 0.500 0.500
```